# GGA-PBE HfCu2Sn2, optimized geometry
# energy: -4.8970 eV/atom
data_HfCu2Sn2
_cell_length_a 4.311
_cell_length_b 4.311
_cell_length_c 10.362
_cell_angle_alpha 90.00
_cell_angle_beta 90.00
_cell_angle_gamma 90.00
_symmetry_space_group_name_H-M 'I 4/m m m'
_symmetry_Int_Tables_number 139
_symmetry_space_group_name_Hall '-I 4 2'
loop_
_atom_site_label
_atom_site_fract_x
_atom_site_fract_y
_atom_site_fract_z
Hf1 0.000 0.000 0.000
Cu1 0.000 0.000 0.392
Sn1 0.000 0.500 0.250